No. 1
Entry from the Alexandria database: a relaxed structure of Er2Sc4Ge3H2 (PBE).

Results
- total energy (eV per atom) = -5.683
- total magnetization (μB per cell) = 1.760

Cell lengths 11.645, 11.645, 11.645 Å; angles 158.80, 158.80, 30.15 degrees
Fractional positions:
Er 0.199 0.199 0.000
Er 0.801 0.801 0.000
Sc 0.079 0.579 0.500
Sc 0.421 0.921 0.500
Sc 0.579 0.079 0.500
Sc 0.921 0.421 0.500
Ge 0.331 0.331 0.000
Ge 0.500 0.500 0.000
Ge 0.669 0.669 0.000
H 0.096 0.096 0.000
H 0.904 0.904 0.000


No. 2
Entry from the Alexandria database: a relaxed structure of NaSr2AuO4 (PBE).

Results
- total magnetization (μB per cell) = 0.000
- raw formation energy (meV/atom) = -1685

Cell lengths 5.511, 5.511, 5.511 Å; angles 111.93, 111.93, 104.67 degrees
Fractional positions:
Na 0.000 0.000 0.000
Sr 0.250 0.750 0.500
Sr 0.500 0.500 0.000
Au 0.750 0.250 0.500
O 0.003 0.444 0.961
O 0.482 0.042 0.039
O 0.556 0.518 0.559
O 0.958 0.997 0.441


No. 3
Entry from the Alexandria database: a relaxed structure of CuSbW2 (PBE).

Results
- total magnetization (μB per cell) = 0.000
- raw formation energy (meV/atom) = 541

Cell lengths 2.876, 2.876, 9.138 Å; angles 90.00, 90.00, 109.24 degrees
Fractional positions:
Cu 0.000 0.000 0.000
Sb 0.500 0.500 0.715
W 0.000 0.000 0.445
W 0.500 0.500 0.219


No. 4
Entry from the Alexandria database: a relaxed structure of CeHoGaRu (PBE).

Results
- total magnetization (μB per cell) = 0.000
- energy of formation from the pure elements (eV/atom) = -0.5344
- E above lowest polymorph (meV per atom) = 0.0

Cell lengths 4.328, 5.385, 5.385 Å; angles 47.12, 90.00, 90.00 degrees
Fractional positions:
Ce 0.000 0.000 0.000
Ho 0.500 0.301 0.301
Ga 0.500 0.598 0.598
Ru 0.000 0.768 0.768